## Ba2LiAs4Pt3 (PBE)

Data for crystalline Ba2LiAs4Pt3 at its relaxed geometry.

Geometry as POSCAR:
```
Ba2LiAs4Pt3
1.0
4.6066 0.0000 0.0000
0.0000 4.6066 0.0000
0.0000 0.0000 10.1812
Ba Li As Pt
2 1 4 3
Direct
0.0000 0.5000 0.2487
0.5000 0.0000 0.7513
0.5000 0.5000 0.0000
0.0000 0.0000 0.5000
0.0000 0.5000 0.8708
0.5000 0.0000 0.1292
0.5000 0.5000 0.5000
0.0000 0.0000 0.0000
0.0000 0.5000 0.6120
0.5000 0.0000 0.3880
```

The value obtained for the formation enthalpy at 0 K is -0.830 eV per atom. The space group is No. 115. The calculation puts the total magnetization at 0.000 μB/f.u.

## Ca2AgSn3Pd4 (PBE)

Data for crystalline Ca2AgSn3Pd4 at its relaxed geometry.

Geometry as POSCAR:
```
Ca2AgSn3Pd4
1.0
4.3987 0.0000 0.0000
0.0000 4.3987 0.0000
0.0000 0.0000 11.4752
Ca Ag Sn Pd
2 1 3 4
Direct
0.0000 0.5000 0.2426
0.5000 0.0000 0.7574
0.5000 0.5000 0.0000
0.0000 0.0000 0.0000
0.0000 0.5000 0.6308
0.5000 0.0000 0.3692
0.0000 0.0000 0.5000
0.0000 0.5000 0.8567
0.5000 0.0000 0.1433
0.5000 0.5000 0.5000
```

The value obtained for the formation enthalpy at 0 K is -0.598 eV per atom. The space group is No. 115. The calculation puts the total magnetization at 0.000 μB/f.u.

## Cs3Li2LaI8 (PBE)

Data for crystalline Cs3Li2LaI8 at its relaxed geometry.

Geometry as POSCAR:
```
Cs3Li2LaI8
1.0
8.6480 0.0000 0.0000
-4.3240 7.4894 0.0000
0.0000 0.0000 10.9495
Cs Li La I
3 2 1 8
Direct
0.0000 0.0000 0.0000
0.3333 0.6667 0.6306
0.6667 0.3333 0.3694
0.3333 0.6667 0.1984
0.6667 0.3333 0.8016
0.0000 0.0000 0.5000
0.1678 0.3356 0.3263
0.1678 0.8322 0.3263
0.3333 0.6667 0.9622
0.3356 0.1678 0.6737
0.6644 0.8322 0.3263
0.6667 0.3333 0.0378
0.8322 0.1678 0.6737
0.8322 0.6644 0.6737
```

The value obtained for the uncorrected formation energy is -19.74 eV/f.u. The space group is No. 164. The calculation puts the total magnetization at 0.000 μB/f.u.

## La2GaFeC (PBE)

Data for crystalline La2GaFeC at its relaxed geometry.

Geometry as POSCAR:
```
La2GaFeC
1.0
5.3584 0.0000 0.0000
0.0000 5.3584 0.0000
0.0000 0.0000 3.7052
La Ga Fe C
2 1 1 1
Direct
0.0000 0.5000 0.0000
0.5000 0.0000 0.0000
0.0000 0.0000 0.5000
0.5000 0.5000 0.5000
0.5000 0.5000 0.0000
```

The value obtained for the formation enthalpy at 0 K is -0.255 eV per atom. The space group is No. 123. The calculation puts the total magnetization at 0.544 μB/f.u.

## RbAlH2 (PBE)

Data for crystalline RbAlH2 at its relaxed geometry.

Geometry as POSCAR:
```
RbAlH2
1.0
-2.5819 2.5819 5.8077
2.5819 -2.5819 5.8077
2.5819 2.5819 -5.8077
Rb Al H
2 2 4
Direct
0.0000 0.0000 0.0000
0.7500 0.2500 0.5000
0.2500 0.7500 0.5000
0.5000 0.5000 0.0000
0.3728 0.6250 0.2478
0.3750 0.6228 0.7478
0.3772 0.1250 0.7522
0.8750 0.6272 0.2522
```

The space group is No. 122. The calculation puts the total magnetization at 0.000 μB/f.u. The value obtained for the total energy is -2.62 eV/atom.

## ZnSbPd2 (PBE)

Data for crystalline ZnSbPd2 at its relaxed geometry.

Geometry as POSCAR:
```
ZnSbPd2
1.0
1.6880 0.9745 7.3668
-1.6880 0.9745 7.3668
0.0000 -1.9491 7.3668
Zn Sb Pd
1 1 2
Direct
0.0000 0.0000 0.0000
0.1670 0.1670 0.1670
0.5898 0.5898 0.5898
0.7442 0.7442 0.7442
```

The value obtained for the uncorrected formation energy is -1.10 eV/f.u. The space group is No. 160. The calculation puts the total magnetization at 0.000 μB/f.u.

## HfSn2Au (PBE)

Data for crystalline HfSn2Au at its relaxed geometry.

Geometry as POSCAR:
```
HfSn2Au
1.0
1.6272 0.9395 10.2452
-1.6272 0.9395 10.2452
0.0000 -1.8789 10.2452
Hf Sn Au
1 2 1
Direct
0.0000 0.0000 0.0000
0.4131 0.4131 0.4131
0.5869 0.5869 0.5869
0.5000 0.5000 0.5000
```

The value obtained for the formation enthalpy at 0 K is -0.081 eV per atom. The space group is No. 166. The calculation puts the total magnetization at 0.000 μB/f.u.

## Pm2TmAl (PBE)

Data for crystalline Pm2TmAl at its relaxed geometry.

Geometry as POSCAR:
```
Pm2TmAl
1.0
0.0000 3.8259 3.8259
3.8259 0.0000 3.8259
3.8259 3.8259 0.0000
Pm Tm Al
2 1 1
Direct
0.2500 0.2500 0.2500
0.7500 0.7500 0.7500
0.0000 0.0000 0.0000
0.5000 0.5000 0.5000
```

The value obtained for the formation enthalpy at 0 K is -0.075 eV per atom. The space group is No. 225. The calculation puts the total magnetization at 0.001 μB/f.u.

## Ba2HgP (PBE)

Data for crystalline Ba2HgP at its relaxed geometry.

Geometry as POSCAR:
```
Ba2HgP
1.0
0.0000 3.9930 3.9930
3.9930 0.0000 3.9930
3.9930 3.9930 0.0000
Ba Hg P
2 1 1
Direct
0.0000 0.0000 0.0000
0.2500 0.2500 0.2500
0.7500 0.7500 0.7500
0.5000 0.5000 0.5000
```

The value obtained for the formation enthalpy at 0 K is -0.188 eV per atom. The space group is No. 216. The calculation puts the total magnetization at 0.000 μB/f.u.

## Tb8PmPr2 (PBE)

Data for crystalline Tb8PmPr2 at its relaxed geometry.

Geometry as POSCAR:
```
Tb8PmPr2
1.0
9.1640 -2.5445 0.0000
9.1640 2.5445 0.0000
-2.1207 0.0000 7.7602
Tb Pm Pr
8 1 2
Direct
0.0445 0.0445 0.2269
0.1355 0.1355 0.6786
0.3187 0.3187 0.5922
0.4102 0.4102 0.0456
0.5898 0.5898 0.9544
0.6813 0.6813 0.4078
0.8645 0.8645 0.3214
0.9555 0.9555 0.7731
0.5000 0.5000 0.5000
0.2272 0.2272 0.1375
0.7728 0.7728 0.8625
```

The value obtained for the formation enthalpy at 0 K is 0.018 eV per atom. The space group is No. 12. The calculation puts the total magnetization at 0.000 μB/f.u.

## Na3Np3NiSe8 (PBE)

Data for crystalline Na3Np3NiSe8 at its relaxed geometry.

Geometry as POSCAR:
```
Na3Np3NiSe8
1.0
6.9937 -4.0411 0.0000
6.9937 4.0411 0.0000
-4.6561 0.0000 7.0861
Na Np Ni Se
3 3 1 8
Direct
0.0000 0.0000 0.0000
0.0000 0.5000 0.0000
0.5000 0.0000 0.0000
0.0000 0.5000 0.5000
0.5000 0.0000 0.5000
0.5000 0.5000 0.5000
0.0000 0.0000 0.5000
0.2249 0.2249 0.7105
0.2262 0.7592 0.7116
0.2408 0.7738 0.2884
0.2552 0.2552 0.2657
0.7448 0.7448 0.7343
0.7592 0.2262 0.7116
0.7738 0.2408 0.2884
0.7751 0.7751 0.2895
```

The value obtained for the uncorrected formation energy is -14.65 eV/f.u. The space group is No. 12. The calculation puts the total magnetization at 11.631 μB/f.u.

## Sn2PbN2 (PBE)

Data for crystalline Sn2PbN2 at its relaxed geometry.

Geometry as POSCAR:
```
Sn2PbN2
1.0
8.9445 0.0000 0.0000
0.0000 8.9445 0.0000
0.0000 0.0000 3.1708
Sn Pb N
4 2 4
Direct
0.2152 0.2848 0.0000
0.2848 0.7848 0.0000
0.7152 0.2152 0.0000
0.7848 0.7152 0.0000
0.0000 0.0000 0.0000
0.5000 0.5000 0.0000
0.0459 0.4541 0.5000
0.4541 0.9541 0.5000
0.5459 0.0459 0.5000
0.9541 0.5459 0.5000
```

The value obtained for the uncorrected formation energy is 2.21 eV/f.u. The space group is No. 127. The calculation puts the total magnetization at 0.000 μB/f.u.